(1)
# Mg4In10Sn

An optimized crystal structure of Mg4In10Sn (PBE-GGA, Alexandria).

Crystal system: tetragonal
DFT total energy, eV per atom: -2.465

abc: 8.0934 8.2290 8.2290
angles: 76.01 60.54 60.54
Last column: nearest neighbours and their distance in Å.
Fractional positions:
In 0.2185 0.2876 0.8834  3 Mg 2.98-3.18, 4 In 3.14-3.17, 1 Sn 3.32
In 0.1019 0.1166 0.2876  3 Mg 2.98-3.18, 4 In 3.14-3.17, 1 Sn 3.32
In 0.7500 0.5000 0.5000  4 Mg 3.02, 4 In 3.17
Mg 0.1628 0.4874 0.1870  8 In 2.98-3.18
Mg 0.8372 0.5126 0.8130  8 In 2.98-3.18
In 0.3895 0.7124 0.1166  3 Mg 2.98-3.18, 4 In 3.14-3.17, 1 Sn 3.32
Mg 0.6502 0.1870 0.5126  8 In 2.98-3.18
In 0.6105 0.2876 0.8834  3 Mg 2.98-3.18, 4 In 3.14-3.17, 1 Sn 3.32
In 0.4939 0.1166 0.2876  3 Mg 2.98-3.18, 4 In 3.14-3.17, 1 Sn 3.32
Mg 0.3498 0.8130 0.4874  8 In 2.98-3.18
In 0.2500 0.5000 0.5000  4 Mg 3.02, 4 In 3.17
Sn 0.0000 0.0000 0.0000  8 In 3.32
In 0.5061 0.8834 0.7124  3 Mg 2.98-3.18, 4 In 3.14-3.17, 1 Sn 3.32
In 0.7815 0.7124 0.1166  3 Mg 2.98-3.18, 4 In 3.14-3.17, 1 Sn 3.32
In 0.8981 0.8834 0.7124  3 Mg 2.98-3.18, 4 In 3.14-3.17, 1 Sn 3.32

(2)
# Mg3In12Sn

An optimized crystal structure of Mg3In12Sn (PBE-GGA, Alexandria).

Crystal system: tetragonal
DFT total energy, eV per atom: -2.618

abc: 4.7862 4.7862 17.9248
angles: 90.00 90.00 90.00
Last column: nearest neighbours and their distance in Å.
Fractional positions:
Mg 0.0000 0.0000 0.7456  12 In 3.25-3.38
In 0.0000 0.5000 0.3768  8 In 3.24-3.38, 4 Mg 3.25-3.26
In 0.5000 0.5000 0.0000  8 In 3.34, 4 Sn 3.38
In 0.5000 0.0000 0.3768  8 In 3.24-3.38, 4 Mg 3.25-3.26
Mg 0.0000 0.0000 0.2544  12 In 3.25-3.38
Mg 0.0000 0.0000 0.5000  12 In 3.26-3.38
In 0.5000 0.5000 0.5000  8 In 3.26, 4 Mg 3.38
In 0.0000 0.5000 0.8700  2 Mg 3.27, 8 In 3.27-3.38, 2 Sn 3.34
In 0.5000 0.0000 0.8700  2 Mg 3.27, 8 In 3.27-3.38, 2 Sn 3.34
In 0.5000 0.5000 0.2546  8 In 3.24-3.27, 4 Mg 3.38
In 0.5000 0.0000 0.6232  8 In 3.24-3.38, 4 Mg 3.25-3.26
In 0.0000 0.5000 0.6232  8 In 3.24-3.38, 4 Mg 3.25-3.26
In 0.5000 0.5000 0.7454  8 In 3.24-3.27, 4 Mg 3.38
In 0.5000 0.0000 0.1300  2 Mg 3.27, 8 In 3.27-3.38, 2 Sn 3.34
Sn 0.0000 0.0000 0.0000  12 In 3.34-3.38
In 0.0000 0.5000 0.1300  2 Mg 3.27, 8 In 3.27-3.38, 2 Sn 3.34

(3)
# MgIn2Sn2

An optimized crystal structure of MgIn2Sn2 (PBE-GGA, Alexandria).

Crystal system: tetragonal
DFT total energy, eV per atom: -2.900

abc: 4.3008 4.3008 8.2655
angles: 74.92 74.92 90.00
Last column: nearest neighbours and their distance in Å.
Fractional positions:
Sn 0.4028 0.4028 0.1943  1 Sn 2.99, 4 In 3.18
In 0.7500 0.2500 0.5000  4 In 3.04, 4 Sn 3.18
In 0.2500 0.7500 0.5000  4 In 3.04, 4 Sn 3.18
Mg 0.0000 0.0000 0.0000  8 Sn 3.39
Sn 0.5972 0.5972 0.8057  1 Sn 2.99, 4 In 3.18

E_form values, unit meV per atom, following the record order: 53; -15; 115.